! MnCu, optimized geometry, DFT PBE; values from VASP
&SYSTEM
  ibrav = 0, nat = 4, ntyp = 2
/
ATOMIC_SPECIES
Mn 54.94 Mn.upf
Cu 63.55 Cu.upf
CELL_PARAMETERS angstrom
4.233 0.000 0.000
-2.117 3.666 0.000
0.000 0.000 4.956
ATOMIC_POSITIONS angstrom
Mn 0.000 2.444 1.239
Mn 2.117 1.222 3.717
Cu 0.000 2.444 3.717
Cu 2.117 1.222 1.239
! - ΔE_f: 963 meV/atom

! MgSb3N, optimized geometry, DFT PBE; values from VASP
&SYSTEM
  ibrav = 0, nat = 5, ntyp = 3
/
ATOMIC_SPECIES
Mg 24.30 Mg.upf
Sb 121.76 Sb.upf
N 14.01 N.upf
CELL_PARAMETERS angstrom
5.386 0.000 0.000
0.000 5.386 0.000
0.000 0.000 5.386
ATOMIC_POSITIONS angstrom
Mg 0.000 0.000 0.000
Sb 0.000 0.000 2.693
Sb 0.000 2.693 0.000
Sb 2.693 0.000 0.000
N 2.693 2.693 2.693
! - Uncorrected formation energy: 7.59 eV/f.u.

! BAu2C, optimized geometry, DFT PBE; values from VASP
&SYSTEM
  ibrav = 0, nat = 4, ntyp = 3
/
ATOMIC_SPECIES
B 10.81 B.upf
Au 196.97 Au.upf
C 12.01 C.upf
CELL_PARAMETERS angstrom
4.504 0.000 0.000
0.000 2.825 0.000
-0.897 0.000 5.077
ATOMIC_POSITIONS angstrom
B 0.000 0.000 0.000
Au 2.483 1.413 0.812
Au 2.265 0.000 3.289
C 0.372 1.413 0.288
! - ΔE_f: 576 meV/atom

! Y5Ga, optimized geometry, DFT PBE; values from VASP
&SYSTEM
  ibrav = 0, nat = 6, ntyp = 2
/
ATOMIC_SPECIES
Y 88.91 Y.upf
Ga 69.72 Ga.upf
CELL_PARAMETERS angstrom
2.387 -7.494 0.000
2.387 7.494 0.000
0.000 0.000 4.843
ATOMIC_POSITIONS angstrom
Y 0.000 0.000 0.000
Y 2.387 5.134 2.421
Y 2.387 2.482 0.000
Y 2.387 -2.482 0.000
Y 2.387 -5.134 2.421
Ga 2.387 0.000 2.421
! - ΔE_f: -127 meV/atom

! Nd2Er3Cd2, optimized geometry, DFT PBE; values from VASP
&SYSTEM
  ibrav = 0, nat = 7, ntyp = 3
/
ATOMIC_SPECIES
Nd 144.24 Nd.upf
Er 167.26 Er.upf
Cd 112.41 Cd.upf
CELL_PARAMETERS angstrom
2.718 1.569 8.017
-2.718 1.569 8.017
0.000 -3.139 8.017
ATOMIC_POSITIONS angstrom
Nd 0.000 0.000 1.813
Nd 0.000 0.000 22.238
Er 0.000 0.000 8.289
Er 0.000 0.000 12.025
Er 0.000 0.000 15.761
Cd 0.000 0.000 5.132
Cd 0.000 0.000 18.918
! - ΔE_f: -138 meV/atom

! Ni2AgIr, optimized geometry, DFT PBE; values from VASP
&SYSTEM
  ibrav = 0, nat = 4, ntyp = 3
/
ATOMIC_SPECIES
Ni 58.69 Ni.upf
Ag 107.87 Ag.upf
Ir 192.22 Ir.upf
CELL_PARAMETERS angstrom
1.352 0.781 8.620
-1.352 0.781 8.620
0.000 -1.562 8.620
ATOMIC_POSITIONS angstrom
Ni 0.000 0.000 6.353
Ni 0.000 0.000 19.508
Ag 0.000 0.000 0.000
Ir 0.000 0.000 12.931
! - ΔE_f: 173 meV/atom

! Na3Er3RuO8, optimized geometry, DFT PBE; values from VASP
&SYSTEM
  ibrav = 0, nat = 15, ntyp = 4
/
ATOMIC_SPECIES
Na 22.99 Na.upf
Er 167.26 Er.upf
Ru 101.07 Ru.upf
O 16.00 O.upf
CELL_PARAMETERS angstrom
3.312 1.912 5.553
-3.312 1.912 5.553
0.000 -3.824 5.553
ATOMIC_POSITIONS angstrom
Na -1.656 -0.956 5.553
Na -1.656 0.956 11.107
Na 0.000 1.912 5.553
Er -3.312 0.000 8.330
Er -1.656 0.956 2.777
Er 1.656 0.956 2.777
Ru 0.000 0.000 8.330
O 0.000 0.000 3.935
O -1.527 -0.882 9.435
O 0.000 -1.763 7.225
O -1.527 0.882 7.225
O 1.527 -0.882 9.435
O 0.000 1.763 9.435
O 1.527 0.882 7.225
O 0.000 0.000 12.725
! - Uncorrected formation energy: -36.56 eV/f.u.

! K3Nd5I12, optimized geometry, DFT PBE; values from VASP
&SYSTEM
  ibrav = 0, nat = 80, ntyp = 3
/
ATOMIC_SPECIES
K 39.10 K.upf
Nd 144.24 Nd.upf
I 126.90 I.upf
CELL_PARAMETERS angstrom
-9.897 9.897 9.897
9.897 -9.897 9.897
9.897 9.897 -9.897
ATOMIC_POSITIONS angstrom
K 4.948 2.474 0.000
K 9.897 4.948 -2.474
K 2.474 0.000 4.948
K 12.371 0.000 4.948
K 0.000 4.948 2.474
K 4.948 -2.474 9.897
K 4.948 12.371 0.000
K 9.897 4.948 7.422
K -2.474 9.897 4.948
K 7.422 9.897 4.948
K 0.000 4.948 12.371
K 4.948 7.422 9.897
Nd 0.000 0.000 0.000
Nd 4.948 4.948 -4.948
Nd 4.948 -4.948 4.948
Nd 9.897 0.000 0.000
Nd 14.845 2.474 0.000
Nd 9.897 -4.948 7.422
Nd 7.422 9.897 -4.948
Nd 7.422 0.000 4.948
Nd 4.948 7.422 0.000
Nd 9.897 4.948 2.474
Nd -4.948 4.948 4.948
Nd 0.000 9.897 0.000
Nd 0.000 0.000 9.897
Nd 4.948 4.948 4.948
Nd 0.000 4.948 7.422
Nd 4.948 2.474 9.897
Nd 2.474 9.897 4.948
Nd 2.474 0.000 14.845
Nd 0.000 14.845 2.474
Nd -4.948 7.422 9.897
I 2.921 -0.516 1.264
I 11.923 6.213 -5.464
I 9.380 -1.264 2.921
I 15.361 -2.027 3.684
I 12.818 0.516 1.264
I 11.923 -3.684 5.464
I 1.264 2.921 -0.516
I 13.580 4.432 -2.027
I 6.213 5.464 -2.027
I 8.632 2.921 0.516
I -0.516 1.264 2.921
I 5.464 -2.027 6.213
I 9.380 8.632 -2.921
I 5.464 2.027 3.684
I 8.632 -2.921 9.380
I 6.213 -5.464 11.923
I 3.684 5.464 2.027
I 11.161 6.975 0.516
I 2.921 9.380 -1.264
I 11.923 3.684 4.432
I 5.464 11.923 -3.684
I 9.380 1.264 6.975
I 2.027 3.684 5.464
I 2.921 0.516 8.632
I 6.975 9.380 1.264
I 7.870 6.213 4.432
I 0.516 8.632 2.921
I 4.432 -2.027 13.580
I -2.027 6.213 5.464
I 6.975 0.516 11.161
I -1.264 2.921 9.380
I 6.213 4.432 7.870
I 3.684 15.361 -2.027
I 1.264 12.818 0.516
I 4.432 7.870 6.213
I 0.516 1.264 12.818
I 4.432 11.923 3.684
I 10.413 8.632 6.975
I 1.264 6.975 9.380
I 3.684 4.432 11.923
I -3.684 5.464 11.923
I 8.632 6.975 10.413
I -2.027 13.580 4.432
I -2.921 9.380 8.632
I -5.464 11.923 6.213
I 0.516 11.161 6.975
I -2.027 3.684 15.361
I 6.975 10.413 8.632
! - Uncorrected formation energy: -20.59 eV/f.u.

! LaTa2BeAl, optimized geometry, DFT PBE; values from VASP
&SYSTEM
  ibrav = 0, nat = 5, ntyp = 4
/
ATOMIC_SPECIES
La 138.91 La.upf
Ta 180.95 Ta.upf
Be 9.01 Be.upf
Al 26.98 Al.upf
CELL_PARAMETERS angstrom
5.044 0.000 0.000
0.000 5.044 0.000
0.000 0.000 4.498
ATOMIC_POSITIONS angstrom
La 0.000 0.000 0.000
Ta 0.000 2.522 0.000
Ta 2.522 0.000 0.000
Be 0.000 0.000 2.249
Al 2.522 2.522 2.249
! - ΔE_f: 2227 meV/atom

! K4TcSe, optimized geometry, DFT PBE; values from VASP
&SYSTEM
  ibrav = 0, nat = 6, ntyp = 3
/
ATOMIC_SPECIES
K 39.10 K.upf
Tc 98.00 Tc.upf
Se 78.96 Se.upf
CELL_PARAMETERS angstrom
0.000 4.824 4.824
4.824 0.000 4.824
4.824 4.824 0.000
ATOMIC_POSITIONS angstrom
K 1.188 1.188 1.188
K 3.637 3.637 1.188
K 3.637 1.188 3.637
K 1.188 3.637 3.637
Tc 4.824 4.824 4.824
Se 7.237 7.237 7.237
! - Uncorrected formation energy: 5.06 eV/f.u.

Number 1: magnetization 8.5 μB/cell, theoretical density 5.12 Mg/m³. Number 2: magnetization 2.7 μB/cell, theoretical density 4.29 Mg/m³. Number 3: magnetization 0.0 μB/cell, theoretical density 10.71 Mg/m³. Number 4: magnetization 0.0 μB/cell, theoretical density 4.93 Mg/m³. Number 5: magnetization 0.0 μB/cell, theoretical density 8.21 Mg/m³. Number 6: magnetization 0.1 μB/cell, theoretical density 12.69 Mg/m³. Number 7: magnetization 2.0 μB/cell, theoretical density 6.29 Mg/m³. Number 8: magnetization 24.5 μB/cell, theoretical density 4.05 Mg/m³. Number 9: magnetization 0.0 μB/cell, theoretical density 7.79 Mg/m³. Number 10: magnetization 3.1 μB/cell, theoretical density 2.46 Mg/m³.